Material: HgSb2Br
Method: DFT, GGA-PBE
State: optimized geometry

Cell lengths 6.063, 6.063, 3.284 Å; angles 90.00, 90.00, 116.20 degrees
Fractional coordinates of all 4 atoms:
Hg1 0.000 0.000 0.000
Sb1 0.000 0.500 0.500
Sb2 0.500 0.000 0.500
Br1 0.500 0.500 0.000

## Properties
Spin magnetization = 0.0 μB/cell
E above lowest polymorph = 353 meV per atom
Energy relative to the elements, uncorrected = 233 meV/atom
SG = Cmmm
Calculated density = 8.0 g/cm³
V = 108.3 Å³/cell

***

Material: K2CdAs
Method: DFT, GGA-PBE
State: optimized geometry

Cell lengths 4.606, 6.633, 6.633 Å; angles 47.11, 90.00, 90.00 degrees
Fractional coordinates of all 4 atoms:
K1 0.000 0.000 0.000
K2 0.500 0.291 0.291
Cd1 0.500 0.599 0.599
As1 0.000 0.710 0.710

## Properties
Spin magnetization = 0.0 μB/cell
E above lowest polymorph = 0 meV per atom
SG = Amm2
Energy of formation = -0.260 eV/atom
Calculated density = 3.0 g/cm³
V = 148.5 Å³/cell

***

Material: CaFe2Te
Method: DFT, GGA-PBE
State: optimized geometry

Cell lengths 3.618, 3.618, 6.216 Å; angles 90.00, 90.00, 90.00 degrees
Fractional coordinates of all 4 atoms:
Ca1 0.000 0.000 0.000
Fe1 0.500 0.500 0.310
Fe2 0.500 0.500 0.690
Te1 0.000 0.000 0.500

## Properties
Spin magnetization = 5.3 μB/cell
E above lowest polymorph = 394 meV per atom
Energy relative to the elements, uncorrected = 279 meV/atom
SG = P4/mmm
Calculated density = 5.7 g/cm³
V = 81.4 Å³/cell

***

Material: Hg2RhW
Method: DFT, GGA-PBE
State: optimized geometry

Cell lengths 2.881, 2.881, 9.622 Å; angles 90.00, 90.00, 115.45 degrees
Fractional coordinates of all 4 atoms:
Hg1 0.000 0.000 0.241
Hg2 0.000 0.000 0.759
Rh1 0.500 0.500 0.000
W1 0.500 0.500 0.500

## Properties
Spin magnetization = 0.0 μB/cell
E above lowest polymorph = 406 meV per atom
SG = Cmmm
Energy of formation = 0.637 eV/atom
Calculated density = 15.8 g/cm³
V = 72.1 Å³/cell